Material: Pr8HgPb2
Method: DFT, PBE
State: optimized geometry

Its crystal system is monoclinic. The density comes out at 7.82 g/cm3. For the density of states at the Fermi level, the calculation gives 12.6 states/eV per cell. The total energy comes out at -4.443 eV/atom.

```
11
Lattice="5.367 0.000 0.000 0.000 7.065 0.179 -2.683 -2.770 9.684" Properties=species:S:1:pos:R:3 pbc="T T T"
Pr 2.683 2.893 1.867
Pr 0.000 5.361 0.390
Pr 2.683 -1.067 9.472
Pr 0.000 1.402 7.996
Pr 0.000 1.120 4.187
Pr 2.683 -0.834 3.025
Pr 0.000 5.129 6.838
Pr 2.683 3.175 5.676
Pb 2.683 -0.082 6.265
Pb 0.000 4.376 3.598
Hg 2.683 0.000 0.000
```